Density functional theory data (PBE with a Hubbard U) for crystalline BiMoCl2O at its relaxed geometry.

Computed properties:
The total energy comes out at -17.43 eV per cell. The calculated volume is 105 Å³/cell.

Lattice parameters (Å, degrees): 4.6702 4.6702 4.8181 90.00 90.00 90.00
With the nearest neighbours (Å) after each atom.
Sites, in units of the cell vectors:
Bi 0.0000 0.0000 0.0000  2 O 2.41
Mo 0.5000 0.5000 0.0000  4 Bi 3.30, 8 Cl 3.36
Cl 0.0000 0.5000 0.5000  2 O 2.34
Cl 0.5000 0.0000 0.5000  2 O 2.34
O 0.0000 0.0000 0.5000  4 Cl 2.34, 2 Bi 2.41